No. 1
! TiWI2, relaxed, DFT GGA-PBE; values from VASP
&SYSTEM
  ibrav = 0, nat = 8, ntyp = 3
/
ATOMIC_SPECIES
I 126.90 I.upf
Ti 47.87 Ti.upf
W 183.84 W.upf
CELL_PARAMETERS angstrom
-1.953 3.784 2.042
-2.449 -2.822 2.888
4.233 0.728 8.162
ATOMIC_POSITIONS crystal
I 0.375 0.373 0.750
I 0.875 0.877 0.750
I 0.123 0.625 0.250
I 0.627 0.125 0.250
Ti 0.250 0.750 0.500
Ti 0.500 0.500 0.000
W 0.750 0.250 0.500
W 0.000 0.000 0.000
! energy: -5.03 eV/atom
! formation energy (no corrections): 0.952 eV/atom
! magnetization: 0.000 μB per atom


No. 2
! TiW3I, relaxed, DFT GGA-PBE; values from VASP
&SYSTEM
  ibrav = 0, nat = 5, ntyp = 3
/
ATOMIC_SPECIES
W 183.84 W.upf
I 126.90 I.upf
Ti 47.87 Ti.upf
CELL_PARAMETERS angstrom
-1.473 -1.380 4.385
-2.103 -3.892 -1.931
4.088 -2.499 0.586
ATOMIC_POSITIONS crystal
W 0.500 0.000 0.000
W 0.000 0.000 0.500
W 0.000 0.500 0.000
I 0.000 0.000 0.000
Ti 0.500 0.500 0.500
! energy: -7.03 eV/atom
! formation energy (no corrections): 2.634 eV/atom
! magnetization: 0.254 μB per atom